[1]
Density functional theory data (PBE-GGA) for an optimized crystal structure of Er3Be2SiPt9.

```
Er3Be2SiPt9
1.0
5.716 0.000 0.000
-2.858 4.951 0.000
0.000 0.000 9.280
Er Be Si Pt
3 2 1 9
direct
0.000 0.000 0.000 Er
0.333 0.667 0.602 Er
0.667 0.333 0.398 Er
0.333 0.667 0.154 Be
0.667 0.333 0.846 Be
0.000 0.000 0.500 Si
0.000 0.500 0.000 Pt
0.164 0.328 0.307 Pt
0.164 0.836 0.307 Pt
0.328 0.164 0.693 Pt
0.500 0.000 0.000 Pt
0.500 0.500 0.000 Pt
0.672 0.836 0.307 Pt
0.836 0.164 0.693 Pt
0.836 0.672 0.693 Pt
```

## Properties
E_tot, eV/atom: -6.290


[2]
Density functional theory data (PBE-GGA) for an optimized crystal structure of HfTi3Si.

```
HfTi3Si
1.0
4.646 0.000 0.000
0.000 4.646 0.000
0.000 0.000 4.646
Hf Ti Si
1 3 1
direct
0.000 0.000 0.000 Hf
0.000 0.500 0.500 Ti
0.500 0.000 0.500 Ti
0.500 0.500 0.000 Ti
0.500 0.500 0.500 Si
```

## Properties
Excess energy over the best structure of this formula in the dataset, meV/atom: 589
E_tot, eV/atom: -7.556


[3]
Density functional theory data (PBE-GGA) for an optimized crystal structure of PuNb6S8.

```
PuNb6S8
1.0
4.614 2.664 3.992
-4.614 2.664 3.992
0.000 -5.328 3.992
Pu Nb S
1 6 8
direct
0.000 0.000 0.000 Pu
0.202 0.409 0.557 Nb
0.409 0.557 0.202 Nb
0.443 0.798 0.591 Nb
0.557 0.202 0.409 Nb
0.591 0.443 0.798 Nb
0.798 0.591 0.443 Nb
0.132 0.756 0.389 S
0.234 0.234 0.234 S
0.244 0.611 0.868 S
0.389 0.132 0.756 S
0.611 0.868 0.244 S
0.756 0.389 0.132 S
0.766 0.766 0.766 S
0.868 0.244 0.611 S
```

## Properties
E_tot, eV/atom: -8.193


[4]
Density functional theory data (PBE-GGA) for an optimized crystal structure of KSmGeSe4.

```
KSmGeSe4
1.0
6.898 0.000 0.000
0.000 7.089 0.000
-2.787 0.000 8.725
K Sm Ge Se
2 2 2 8
direct
0.245 0.000 0.438 K
0.755 0.500 0.562 K
0.271 0.996 0.949 Sm
0.729 0.496 0.051 Sm
0.277 0.530 0.174 Ge
0.723 0.030 0.826 Ge
0.066 0.601 0.922 Se
0.074 0.534 0.339 Se
0.467 0.269 0.775 Se
0.486 0.255 0.207 Se
0.514 0.755 0.793 Se
0.533 0.769 0.225 Se
0.926 0.034 0.661 Se
0.934 0.101 0.078 Se
```

## Properties
E_tot, eV/atom: -4.625


[5]
Density functional theory data (PBE-GGA) for an optimized crystal structure of La2CeCrN5.

```
La2CeCrN5
1.0
1.768 -7.168 0.000
1.768 7.168 0.000
0.000 0.000 10.822
La Ce Cr N
4 2 2 10
direct
0.112 0.888 0.500 La
0.147 0.853 0.166 La
0.853 0.147 0.666 La
0.888 0.112 0.000 La
0.188 0.812 0.866 Ce
0.812 0.188 0.366 Ce
0.467 0.533 0.246 Cr
0.533 0.467 0.746 Cr
0.019 0.981 0.810 N
0.284 0.716 0.504 N
0.342 0.658 0.836 N
0.343 0.657 0.217 N
0.487 0.513 0.601 N
0.513 0.487 0.101 N
0.657 0.343 0.717 N
0.658 0.342 0.336 N
0.716 0.284 0.004 N
0.981 0.019 0.310 N
```

## Properties
E_tot, eV/atom: -8.547


[6]
Density functional theory data (PBE-GGA) for an optimized crystal structure of GaAsBr2F.

```
GaAsBr2F
1.0
5.789 0.000 0.000
0.000 5.789 0.000
0.000 0.000 3.890
Ga As Br F
1 1 2 1
direct
0.000 0.000 0.000 Ga
0.500 0.500 0.000 As
0.000 0.500 0.500 Br
0.500 0.000 0.500 Br
0.500 0.500 0.500 F
```

## Properties
Excess energy over the best structure of this formula in the dataset, meV/atom: 0
E_tot, eV/atom: -2.845


| no. | E_form (uncorrected) (eV per formula unit) |
| --- | --- |
| 1 | -13.4 |
| 2 | 1.3 |
| 3 | -15.1 |
| 4 | -8.0 |
| 5 | -9.9 |
| 6 | -1.3 |